Computed, not measured: crystalline Ca2PO at its relaxed geometry at the PBEsol level of DFT.

a b c (Å): 6.039 6.039 6.039
angles (deg): 114.02 114.02 100.71
Fractional positions:
Ca (0.047, 0.125, 0.422)
Ca (0.375, 0.953, 0.078)
Ca (0.703, 0.625, 0.578)
Ca (0.875, 0.297, 0.922)
P (0.250, 0.750, 0.500)
P (0.500, 0.500, 0.000)
O (0.000, 0.000, 0.000)
O (0.750, 0.250, 0.500)

SG: I-42d (122)
Total magnetic moment in μB/atom: 0.26
Formation energy from raw total energies in kJ per mole of atoms: -159.9